Sm4Er3Tm4: optimized geometry, PBE.

- Calculated total energy: -50.212 eV per cell
- DFT formation energy: 0.022 eV per atom
- Polymorph energy (0 for the lowest one): 0.0 meV/atom
- D(E_F): 1.23 states/eV per atom

Unit cell a=3.5458 b=5.0022 c=19.7381 alpha=97.27 beta=95.15 gamma=90.00
Element x y z (fractional)
1 Sm 0.1822 0.1820 0.3642
2 Sm 0.5459 0.5457 0.0915
3 Sm 0.8178 0.8180 0.6358
4 Sm 0.4541 0.4543 0.9085
5 Tm 0.9081 0.9085 0.8167
6 Tm 0.0919 0.0915 0.1833
7 Tm 0.7276 0.7276 0.4553
8 Tm 0.2723 0.2724 0.5447
9 Er 0.0000 0.0000 0.0000
10 Er 0.3632 0.3638 0.7274
11 Er 0.6368 0.6363 0.2726